Compound: YNi2PI
Source: Alexandria
Functional: GGA-PBE
Structure: optimized geometry

Output
The uncorrected formation energy is -42 meV per atom. Its calculated total energy is -25.20 eV for the cell shown. Its crystal system is tetragonal.

CIF file:
```
data_YNi2PI
_chemical_formula_sum 'Y1 Ni2 P1 I1'
_symmetry_space_group_name_H-M 'P 1'
_symmetry_Int_Tables_number 1
_cell_length_a 4.261
_cell_length_b 4.261
_cell_length_c 5.757
_cell_angle_alpha 90.00
_cell_angle_beta 90.00
_cell_angle_gamma 90.00
loop_
_symmetry_equiv_pos_as_xyz
'x,y,z'
loop_
_atom_site_label
_atom_site_type_symbol
_atom_site_fract_x
_atom_site_fract_y
_atom_site_fract_z
Y1 Y 0.000 0.000 0.000
Ni1 Ni 0.000 0.500 0.500
Ni2 Ni 0.500 0.000 0.500
P1 P 0.500 0.500 0.500
I1 I 0.500 0.500 0.000
```